(1)
Density functional theory data (PBE) for crystalline Be2TcAs at its relaxed geometry.

Values from the calculation:
space group: F-43m

a b c (Å): 4.1042 4.1042 4.1042
angles (deg): 60.00 60.00 60.00
With the nearest neighbours (Å) after each atom.
Sites, in units of the cell vectors:
Be: 0.0000 0.0000 0.0000  4 Tc 2.51, 4 Be 2.51
Be: 0.2500 0.2500 0.2500  4 As 2.51, 4 Be 2.51
Tc: 0.7500 0.7500 0.7500  4 As 2.51, 4 Be 2.51
As: 0.5000 0.5000 0.5000  4 Tc 2.51, 4 Be 2.51


(2)
Density functional theory data (PBE) for crystalline LuAgTe3Pb at its relaxed geometry.

Values from the calculation:
space group: Pnma

a b c (Å): 12.4644 4.4617 12.8549
angles (deg): 90.00 90.00 90.00
With the nearest neighbours (Å) after each atom.
Sites, in units of the cell vectors:
Lu: 0.0247 0.2500 0.1898  6 Te 3.04-3.40
Lu: 0.4753 0.7500 0.6898  6 Te 3.04-3.40
Lu: 0.5247 0.2500 0.3102  6 Te 3.04-3.40
Lu: 0.9753 0.7500 0.8102  6 Te 3.04-3.40
Ag: 0.2389 0.7500 0.2982  4 Te 2.78-2.82
Ag: 0.2611 0.2500 0.7982  4 Te 2.78-2.82
Ag: 0.7389 0.7500 0.2018  4 Te 2.78-2.82
Ag: 0.7611 0.2500 0.7018  4 Te 2.78-2.82
Te: 0.0244 0.7500 0.3612  1 Ag 2.79
Te: 0.0861 0.2500 0.9323  1 Ag 2.78, 2 Lu 3.06
Te: 0.2327 0.7500 0.6670  2 Ag 2.82, 1 Lu 3.04
Te: 0.2673 0.2500 0.1670  2 Ag 2.82, 1 Lu 3.04
Te: 0.4139 0.7500 0.4323  1 Ag 2.78, 2 Lu 3.06
Te: 0.4756 0.2500 0.8612  1 Ag 2.79
Te: 0.5244 0.7500 0.1388  1 Ag 2.79
Te: 0.5861 0.2500 0.5677  1 Ag 2.78, 2 Lu 3.06
Te: 0.7327 0.7500 0.8330  2 Ag 2.82, 1 Lu 3.04
Te: 0.7673 0.2500 0.3330  2 Ag 2.82, 1 Lu 3.04
Te: 0.9139 0.7500 0.0677  1 Ag 2.78, 2 Lu 3.06
Te: 0.9756 0.2500 0.6388  1 Ag 2.79
Pb: 0.1915 0.2500 0.4813  2 Ag 3.30, 7 Te 3.31-3.61
Pb: 0.3085 0.7500 0.9813  2 Ag 3.30, 7 Te 3.31-3.61
Pb: 0.6915 0.2500 0.0187  2 Ag 3.30, 7 Te 3.31-3.61
Pb: 0.8085 0.7500 0.5187  2 Ag 3.30, 7 Te 3.31-3.61


(3)
Density functional theory data (PBE) for crystalline HfFeCo at its relaxed geometry.

Values from the calculation:
formation enthalpy at 0 K: 675 meV/atom
space group: F-43m

a b c (Å): 4.1129 4.1129 4.1129
angles (deg): 60.00 60.00 60.00
With the nearest neighbours (Å) after each atom.
Sites, in units of the cell vectors:
Hf: 0.0000 0.0000 0.0000  4 Fe 2.52, 4 Co 2.52
Fe: 0.2500 0.2500 0.2500  4 Hf 2.52
Co: 0.7500 0.7500 0.7500  4 Hf 2.52


Total magnetization for the records above, in order: 0.003, 0.034, 1.883 μB/cell
Total DFT energy (no corrections) for the records above, in order: -0.193, -0.148, -0.286 hartree per atom